# 1
A plane-wave DFT calculation with GGA-PBE was carried out for a relaxed Rb2HAuCl6 crystal.

As for the total energy: -2.99 eV per atom.

It has space group I4/mmm (No. 139), with a = 7.744 Å, b = 7.744 Å, c = 9.094 Å, α = 90.00°, β = 90.00° and γ = 90.00°. Symmetry generates all atoms from Rb at (0.000, 0.500, 0.250), H at (0.000, 0.000, 0.000), Au at (0.000, 0.000, 0.500), Cl at (0.000, 0.000, 0.170) and Cl at (0.213, 0.213, 0.500).

=====

# 2
A plane-wave DFT calculation with GGA-PBE was carried out for a relaxed Rb4HAuCl2 crystal.

As for the total energy: -2.83 eV per atom.

It has space group P2/m (No. 10), with a = 8.213 Å, b = 4.714 Å, c = 8.226 Å, α = 90.00°, β = 109.24° and γ = 90.00°. Symmetry generates all atoms from Rb at (0.245, 0.000, 0.234), Rb at (0.255, 0.500, 0.764), H at (0.500, 0.000, 0.000), Au at (0.500, 0.500, 0.500), Cl at (0.000, 0.000, 0.500) and Cl at (0.000, 0.500, 0.000).

=====

# 3
A plane-wave DFT calculation with GGA-PBE was carried out for a relaxed Rb2HAuCl crystal.

As for the total energy: -2.89 eV per atom.

It has space group P4/mmm (No. 123), with a = 5.864 Å, b = 5.864 Å, c = 3.957 Å, α = 90.00°, β = 90.00° and γ = 90.00°. Symmetry generates all atoms from Rb at (0.000, 0.500, 0.000), H at (0.000, 0.000, 0.000), Au at (0.000, 0.000, 0.500) and Cl at (0.500, 0.500, 0.500).

=====

# 4
A plane-wave DFT calculation with GGA-PBE was carried out for a relaxed Rb4H2AuCl crystal.

As for the total energy: -2.58 eV per atom.

It has space group P2/m (No. 10), with a = 7.973 Å, b = 4.544 Å, c = 8.020 Å, α = 90.00°, β = 109.13° and γ = 90.00°. Symmetry generates all atoms from Rb at (0.229, 0.000, 0.219), Rb at (0.251, 0.500, 0.774), H at (0.000, 0.500, 0.000), H at (0.500, 0.000, 0.000), Au at (0.500, 0.500, 0.500) and Cl at (0.000, 0.000, 0.500).

=====

# 5
A plane-wave DFT calculation with GGA-PBE was carried out for a relaxed ReHAuCl2 crystal.

As for the total energy: -3.73 eV per atom.

It has space group P4/mmm (No. 123), with a = 4.607 Å, b = 4.607 Å, c = 5.352 Å, α = 90.00°, β = 90.00° and γ = 90.00°. Symmetry generates all atoms from Re at (0.000, 0.000, 0.000), H at (0.500, 0.500, 0.500), Au at (0.000, 0.000, 0.500) and Cl at (0.000, 0.500, 0.000).

=====

# 6
A plane-wave DFT calculation with GGA-PBE was carried out for a relaxed HAuSCl2 crystal.

The value obtained for the energy above the most stable polymorph in this dataset is 112.4 meV per atom. As for the total energy: -2.18 eV per atom.

It has space group P4/mmm (No. 123), with a = 5.101 Å, b = 5.101 Å, c = 4.794 Å, α = 90.00°, β = 90.00° and γ = 90.00°. Symmetry generates all atoms from H at (0.000, 0.000, 0.000), Au at (0.500, 0.500, 0.500), S at (0.500, 0.500, 0.000) and Cl at (0.000, 0.500, 0.500).